YSi2PdPt5: relaxed, PBE.

## Properties
The space-group type is P4/mmm. The volume is 175 Å³ per cell.

abc: 4.0153 4.0153 10.8430
angles: 90.00 90.00 90.00
Fractional positions:
Y 0.0000 0.0000 0.0000
Si 0.5000 0.5000 0.2160
Si 0.5000 0.5000 0.7840
Pd 0.0000 0.0000 0.5000
Pt 0.0000 0.5000 0.3289
Pt 0.0000 0.5000 0.6711
Pt 0.5000 0.0000 0.3289
Pt 0.5000 0.0000 0.6711
Pt 0.5000 0.5000 0.0000

=====

CaLa2Cd: relaxed, PBE.

## Properties
The space-group type is P4/mmm. The value obtained for the calculated formation energy is -0.119 eV/atom. The volume is 138 Å³ per cell.

abc: 4.1002 4.1002 8.1895
angles: 90.00 90.00 90.00
Fractional positions:
Ca 0.0000 0.0000 0.0000
La 0.5000 0.5000 0.2837
La 0.5000 0.5000 0.7163
Cd 0.0000 0.0000 0.5000

=====

Zr5Pa3N12: relaxed, PBE.

## Properties
The space-group type is Ia-3d. The volume is 1137 Å³ per cell.

abc: 11.3883 11.3883 11.3883
angles: 109.47 109.47 109.47
Fractional positions:
Zr 0.0000 0.0000 0.0000
Zr 0.0000 0.0000 0.5000
Zr 0.0000 0.5000 0.0000
Zr 0.0000 0.5000 0.5000
Zr 0.1250 0.7500 0.8750
Zr 0.1250 0.8750 0.2500
Zr 0.2500 0.1250 0.8750
Zr 0.2500 0.6250 0.3750
Zr 0.3750 0.2500 0.6250
Zr 0.3750 0.6250 0.7500
Zr 0.5000 0.0000 0.0000
Zr 0.5000 0.0000 0.5000
Zr 0.5000 0.5000 0.0000
Zr 0.5000 0.5000 0.5000
Zr 0.6250 0.3750 0.2500
Zr 0.6250 0.7500 0.3750
Zr 0.7500 0.3750 0.6250
Zr 0.7500 0.8750 0.1250
Zr 0.8750 0.1250 0.7500
Zr 0.8750 0.2500 0.1250
Pa 0.1250 0.2500 0.3750
Pa 0.1250 0.3750 0.7500
Pa 0.2500 0.3750 0.1250
Pa 0.2500 0.8750 0.6250
Pa 0.3750 0.1250 0.2500
Pa 0.3750 0.7500 0.1250
Pa 0.6250 0.2500 0.8750
Pa 0.6250 0.8750 0.7500
Pa 0.7500 0.1250 0.3750
Pa 0.7500 0.6250 0.8750
Pa 0.8750 0.6250 0.2500
Pa 0.8750 0.7500 0.6250
N 0.0447 0.2191 0.1347
N 0.0447 0.3256 0.9100
N 0.0843 0.7191 0.6744
N 0.0843 0.8653 0.4100
N 0.0900 0.6347 0.4157
N 0.0900 0.9553 0.6744
N 0.1347 0.0447 0.2191
N 0.1347 0.5900 0.9157
N 0.1744 0.2191 0.5843
N 0.1744 0.4553 0.5900
N 0.2191 0.1347 0.0447
N 0.2191 0.5843 0.1744
N 0.2809 0.3256 0.9157
N 0.2809 0.4553 0.3653
N 0.3256 0.9100 0.0447
N 0.3256 0.9157 0.2809
N 0.3653 0.2809 0.4553
N 0.3653 0.5843 0.9100
N 0.4100 0.0843 0.8653
N 0.4100 0.8256 0.5447
N 0.4157 0.0900 0.6347
N 0.4157 0.8256 0.7809
N 0.4553 0.3653 0.2809
N 0.4553 0.5900 0.1744
N 0.5447 0.4100 0.8256
N 0.5447 0.6347 0.7191
N 0.5843 0.1744 0.2191
N 0.5843 0.9100 0.3653
N 0.5900 0.1744 0.4553
N 0.5900 0.9157 0.1347
N 0.6347 0.4157 0.0900
N 0.6347 0.7191 0.5447
N 0.6744 0.0843 0.7191
N 0.6744 0.0900 0.9553
N 0.7191 0.5447 0.6347
N 0.7191 0.6744 0.0843
N 0.7809 0.4157 0.8256
N 0.7809 0.8653 0.9553
N 0.8256 0.5447 0.4100
N 0.8256 0.7809 0.4157
N 0.8653 0.4100 0.0843
N 0.8653 0.9553 0.7809
N 0.9100 0.0447 0.3256
N 0.9100 0.3653 0.5843
N 0.9157 0.1347 0.5900
N 0.9157 0.2809 0.3256
N 0.9553 0.6744 0.0900
N 0.9553 0.7809 0.8653

=====

RuPb2Se: relaxed, PBE.

## Properties
The space-group type is C2/m. The volume is 98 Å³ per cell.

abc: 7.5354 7.5354 4.1643
angles: 105.98 105.98 25.52
Fractional positions:
Ru 0.0000 0.0000 0.0000
Pb 0.3308 0.3308 0.8299
Pb 0.6692 0.6692 0.1701
Se 0.5000 0.5000 0.5000

=====

Energy for the records above, in order: -57.66, -13.25, -791.85, -19.36 eV/cell